(1)
Computed, not measured: a PBEsol-optimized structure of Ge2As2Pb at the meta-GGA SCAN level of DFT.

## Properties
The density comes out at 7.5 Mg/m³. As for the space group: No. 139. The value obtained for the energy of formation is 0.345 eV/atom.

Lattice parameters (Å, degrees): 7.262 7.262 7.262 147.43 147.43 46.73
Positions (direct):
Ge 0.111 0.111 0.000
Ge 0.889 0.889 0.000
As 0.250 0.750 0.500
As 0.750 0.250 0.500
Pb 0.500 0.500 0.000

(2)
Computed, not measured: a PBEsol-optimized structure of KRbBi3 at the meta-GGA SCAN level of DFT.

## Properties
The density comes out at 5.4 Mg/m³. As for the space group: No. 221. The value obtained for the energy of formation is 0.762 eV/atom.

Lattice parameters (Å, degrees): 6.149 6.149 6.149 90.00 90.00 90.00
Positions (direct):
K 0.000 0.000 0.000
Rb 0.500 0.500 0.500
Bi 0.000 0.500 0.500
Bi 0.500 0.000 0.500
Bi 0.500 0.500 0.000

(3)
Computed, not measured: a PBEsol-optimized structure of Ba2DyWO6 at the meta-GGA SCAN level of DFT.

## Properties
The density comes out at 8.1 Mg/m³. As for the space group: No. 225. For the formation energy without anion corrections, the calculation gives -3.100 eV per atom.

Lattice parameters (Å, degrees): 5.922 5.922 5.922 60.00 60.00 60.00
Positions (direct):
Ba 0.250 0.250 0.250
Ba 0.750 0.750 0.750
Dy 0.000 0.000 0.000
W 0.500 0.500 0.500
O 0.265 0.265 0.735
O 0.265 0.735 0.265
O 0.265 0.735 0.735
O 0.735 0.265 0.265
O 0.735 0.265 0.735
O 0.735 0.735 0.265

(4)
Computed, not measured: a PBEsol-optimized structure of LiCd2Ni at the meta-GGA SCAN level of DFT.

## Properties
The density comes out at 7.8 Mg/m³. As for the space group: No. 44. The value obtained for the energy of formation is -0.043 eV/atom.

Lattice parameters (Å, degrees): 5.173 5.173 5.173 143.25 131.10 62.70
Positions (direct):
Li 0.000 0.000 0.000
Cd 0.468 0.468 0.000
Cd 0.735 0.235 0.500
Ni 0.229 0.729 0.500

Number 1: Fermi-level density of states 2.4 states/eV per cell. Number 2: Fermi-level density of states 7.3 states/eV per cell. Number 3: Fermi-level density of states 2.9 states/eV per cell. Number 4: Fermi-level density of states 1.6 states/eV per cell.